1.
A geometry-optimized TiICl2 structure, computed with GGA-PBEsol.

a b c (Å): 6.9564 6.9564 6.9564
angles (deg): 94.23 117.59 117.59
Site moments in Bohr magnetons follow the coordinates.
Sites, in units of the cell vectors:
Cl (0.6457, 0.3750, 0.5207)  -0.05
Cl (0.1457, 0.2707, 0.6250)  -0.05
Ti (0.5000, 0.2500, 0.7500)  1.18
I (0.0000, 0.0000, 0.0000)  -0.23
I (0.5000, 0.7500, 0.2500)  -0.23
Ti (0.0000, 0.5000, 0.5000)  1.18
Cl (0.8543, 0.4793, 0.1250)  -0.05
Cl (0.3543, 0.8750, 0.7293)  -0.05

Computed properties:
ΔE_f (raw)	-0.737	eV/atom

***

2.
A geometry-optimized Nb3IF structure, computed with GGA-PBEsol.

a b c (Å): 5.0140 5.0140 5.0140
angles (deg): 90.00 90.00 90.00
Sites, in units of the cell vectors:
I (0.0000, 0.0000, 0.0000)
Nb (0.0000, 0.0000, 0.5000)
Nb (0.5000, 0.0000, 0.0000)
Nb (0.0000, 0.5000, 0.0000)
F (0.5000, 0.5000, 0.5000)

Computed properties:
ΔE_f (raw)	1.840	eV/atom

***

3.
A geometry-optimized Sc2MnBeAg structure, computed with GGA-PBEsol.

a b c (Å): 4.2209 4.5936 4.5936
angles (deg): 90.00 90.00 90.00
Site moments in Bohr magnetons follow the coordinates.
Sites, in units of the cell vectors:
Sc (0.0000, 0.0000, 0.5000)  -0.02
Be (0.5000, 0.0000, 0.0000)  0.00
Mn (0.0000, 0.0000, 0.0000)  0.36
Ag (0.5000, 0.5000, 0.5000)  0.00
Sc (0.0000, 0.5000, 0.0000)  -0.02

Computed properties:
ΔE_f	0.372	eV/atom

***

4.
A geometry-optimized MnFe2W structure, computed with GGA-PBEsol.

a b c (Å): 4.0764 4.0764 4.0764
angles (deg): 60.00 60.00 60.00
Site moments in Bohr magnetons follow the coordinates.
Sites, in units of the cell vectors:
Fe (0.2500, 0.2500, 0.2500)  1.21
W (0.5000, 0.5000, 0.5000)  -0.24
Fe (0.7500, 0.7500, 0.7500)  1.21
Mn (0.0000, 0.0000, 0.0000)  2.72

Computed properties:
ΔE_f	0.059	eV/atom

***

5.
A geometry-optimized Mg3Au structure, computed with GGA-PBEsol.

a b c (Å): 5.2214 7.6304 8.2496
angles (deg): 90.00 90.00 90.00
Sites, in units of the cell vectors:
Mg (0.1087, 0.6687, 0.0612)
Mg (0.4097, 0.4779, 0.7500)
Mg (0.1087, 0.6687, 0.4388)
Mg (0.8913, 0.3313, 0.5612)
Mg (0.3913, 0.1687, 0.0612)
Mg (0.8913, 0.3313, 0.9388)
Mg (0.5903, 0.5221, 0.2500)
Mg (0.6087, 0.8313, 0.9388)
Au (0.9243, 0.6305, 0.7500)
Mg (0.3913, 0.1687, 0.4388)
Au (0.0757, 0.3695, 0.2500)
Au (0.4243, 0.8695, 0.2500)
Mg (0.9097, 0.0221, 0.2500)
Au (0.5757, 0.1305, 0.7500)
Mg (0.0903, 0.9779, 0.7500)
Mg (0.6087, 0.8313, 0.5612)

Computed properties:
ΔE_f	-0.399	eV/atom

***

6.
A geometry-optimized Sc5Si10Rh4 structure, computed with GGA-PBEsol.

a b c (Å): 4.0138 12.2697 12.2697
angles (deg): 90.00 90.00 90.00
Sites, in units of the cell vectors:
Si (0.0000, 0.6638, 0.6995)
Rh (0.0000, 0.7533, 0.0200)
Si (0.0000, 0.8362, 0.1995)
Sc (0.0000, 0.0000, 0.0000)
Sc (0.5000, 0.3856, 0.1144)
Sc (0.0000, 0.5000, 0.5000)
Sc (0.5000, 0.1144, 0.6144)
Rh (0.0000, 0.5200, 0.2533)
Si (0.0000, 0.1638, 0.8005)
Si (0.0000, 0.6995, 0.3362)
Si (0.0000, 0.4340, 0.9340)
Si (0.0000, 0.1995, 0.1638)
Rh (0.0000, 0.2467, 0.9800)
Sc (0.5000, 0.8856, 0.3856)
Sc (0.5000, 0.6144, 0.8856)
Si (0.0000, 0.3362, 0.3005)
Si (0.0000, 0.3005, 0.6638)
Si (0.5000, 0.8458, 0.0022)
Si (0.5000, 0.5022, 0.3458)
Rh (0.0000, 0.0200, 0.2467)
Si (0.5000, 0.9978, 0.8458)
Rh (0.0000, 0.2533, 0.4800)
Sc (0.5000, 0.6747, 0.1747)
Si (0.5000, 0.4978, 0.6542)
Si (0.0000, 0.0660, 0.4340)
Si (0.5000, 0.3458, 0.4978)
Sc (0.5000, 0.1747, 0.3253)
Rh (0.0000, 0.9800, 0.7533)
Si (0.5000, 0.6542, 0.5022)
Si (0.5000, 0.1542, 0.9978)
Si (0.0000, 0.5660, 0.0660)
Sc (0.5000, 0.8253, 0.6747)
Sc (0.5000, 0.3253, 0.8253)
Si (0.0000, 0.9340, 0.5660)
Rh (0.0000, 0.4800, 0.7467)
Si (0.0000, 0.8005, 0.8362)
Si (0.5000, 0.0022, 0.1542)
Rh (0.0000, 0.7467, 0.5200)

Computed properties:
ΔE_f (raw)	-0.903	eV/atom

***

7.
A geometry-optimized Mn2SiP structure, computed with GGA-PBEsol.

a b c (Å): 2.6664 4.1793 4.3580
angles (deg): 90.00 107.50 90.00
Site moments in Bohr magnetons follow the coordinates.
Sites, in units of the cell vectors:
Si (0.9487, 0.5000, 0.7681)  -0.01
P (0.7969, 0.0000, 0.4714)  -0.01
Mn (0.6709, 0.5000, 0.2210)  0.66
Mn (0.0835, 0.0000, 0.0395)  -0.05

Computed properties:
ΔE_f (raw)	-0.327	eV/atom

***

8.
A geometry-optimized MnAgAu2 structure, computed with GGA-PBEsol.

a b c (Å): 2.9629 4.7576 4.9176
angles (deg): 101.64 107.53 90.00
Site moments in Bohr magnetons follow the coordinates.
Sites, in units of the cell vectors:
Au (0.2439, 0.7350, 0.4878)  0.04
Ag (0.7542, 0.2485, 0.5084)  0.01
Au (0.9996, 0.0072, 0.9992)  0.03
Mn (0.5023, 0.5094, 0.0046)  3.81

Computed properties:
ΔE_f	0.057	eV/atom

***

9.
A geometry-optimized KBaBe4 structure, computed with GGA-PBEsol.

a b c (Å): 5.6198 5.6198 5.6198
angles (deg): 60.00 60.00 60.00
Sites, in units of the cell vectors:
K (0.7500, 0.7500, 0.7500)
Be (0.7908, 0.4031, 0.4031)
Ba (0.0000, 0.0000, 0.0000)
Be (0.4031, 0.4031, 0.4031)
Be (0.4031, 0.7908, 0.4031)
Be (0.4031, 0.4031, 0.7908)

Computed properties:
ΔE_f	0.787	eV/atom

***

10.
A geometry-optimized Ce3Sn13Ir4 structure, computed with GGA-PBEsol.

a b c (Å): 9.6429 9.6429 9.6429
angles (deg): 90.00 90.00 90.00
Site moments in Bohr magnetons follow the coordinates.
Sites, in units of the cell vectors:
Sn (0.0000, 0.6909, 0.1510)  -0.01
Sn (0.1510, 0.0000, 0.3091)  -0.01
Sn (0.6510, 0.1909, 0.5000)  -0.01
Sn (0.8490, 0.0000, 0.3091)  -0.01
Ce (0.2500, 0.5000, 0.0000)  0.55
Sn (0.1909, 0.5000, 0.3490)  -0.01
Sn (0.5000, 0.3490, 0.1909)  -0.01
Ir (0.2500, 0.2500, 0.7500)  -0.03
Sn (0.8490, 0.0000, 0.6909)  -0.01
Ir (0.7500, 0.7500, 0.2500)  -0.03
Sn (0.1510, 0.0000, 0.6909)  -0.01
Ir (0.7500, 0.7500, 0.7500)  -0.03
Sn (0.0000, 0.3091, 0.8490)  -0.01
Sn (0.0000, 0.3091, 0.1510)  -0.01
Ce (0.5000, 0.0000, 0.7500)  0.55
Sn (0.5000, 0.3490, 0.8091)  -0.01
Ir (0.7500, 0.2500, 0.7500)  -0.03
Sn (0.6510, 0.8091, 0.5000)  -0.01
Ce (0.0000, 0.7500, 0.5000)  0.55
Sn (0.6909, 0.1510, 0.0000)  -0.01
Ce (0.7500, 0.5000, 0.0000)  0.55
Sn (0.3091, 0.1510, 0.0000)  -0.01
Sn (0.1909, 0.5000, 0.6510)  -0.01
Ce (0.5000, 0.0000, 0.2500)  0.55
Sn (0.6909, 0.8490, 0.0000)  -0.01
Sn (0.5000, 0.6510, 0.1909)  -0.01
Sn (0.3490, 0.1909, 0.5000)  -0.01
Ir (0.7500, 0.2500, 0.2500)  -0.03
Sn (0.5000, 0.5000, 0.5000)  0.02
Ir (0.2500, 0.7500, 0.7500)  -0.03
Ce (0.0000, 0.2500, 0.5000)  0.55
Sn (0.3091, 0.8490, 0.0000)  -0.01
Ir (0.2500, 0.7500, 0.2500)  -0.03
Sn (0.3490, 0.8091, 0.5000)  -0.01
Ir (0.2500, 0.2500, 0.2500)  -0.03
Sn (0.8091, 0.5000, 0.3490)  -0.01
Sn (0.5000, 0.6510, 0.8091)  -0.01
Sn (0.8091, 0.5000, 0.6510)  -0.01
Sn (0.0000, 0.0000, 0.0000)  0.02
Sn (0.0000, 0.6909, 0.8490)  -0.01

Computed properties:
ΔE_f	-0.513	eV/atom

***

11.
A geometry-optimized SbRu4 structure, computed with GGA-PBEsol.

a b c (Å): 3.4923 3.4923 6.9398
angles (deg): 104.57 104.57 90.00
Sites, in units of the cell vectors:
Ru (0.3984, 0.3984, 0.7967)
Sb (0.0000, 0.0000, 0.0000)
Ru (0.7500, 0.2500, 0.5000)
Ru (0.2500, 0.7500, 0.5000)
Ru (0.6016, 0.6016, 0.2033)

Computed properties:
ΔE_f (raw)	0.438	eV/atom

***

12.
A geometry-optimized HgHN2O structure, computed with GGA-PBEsol.

a b c (Å): 3.0159 3.0159 5.7833
angles (deg): 90.00 90.00 90.00
Sites, in units of the cell vectors:
N (0.0000, 0.5000, 0.0000)
O (0.0000, 0.0000, 0.5000)
N (0.5000, 0.0000, 0.0000)
H (0.0000, 0.0000, 0.0000)
Hg (0.5000, 0.5000, 0.5000)

Computed properties:
DFT total energy	-18.01	eV per cell